<i>
Computed, not measured: MgBeN after structural relaxation at the PBE level of DFT.

It has space group P3m1 (No. 156), with a = 2.9537 Å, b = 2.9537 Å, c = 8.0120 Å, α = 90.00°, β = 90.00° and γ = 120.00°. The inequivalent atoms are Mg at (0.0000, 0.0000, 0.0000), Mg at (0.3333, 0.6667, 0.3201), Be at (0.0000, 0.0000, 0.5564), Be at (0.6667, 0.3333, 0.7650), N at (0.3333, 0.6667, 0.8374) and N at (0.6667, 0.3333, 0.5309).

As for the total magnetization: 0.0 μB/cell. For the theoretical density, the calculation gives 2.6 Mg/m³.

<ii>
Computed, not measured: MgBeN after structural relaxation at the PBE level of DFT.

It has space group Pmmn (No. 59, origin choice 2), with a = 2.947 Å, b = 3.160 Å, c = 7.251 Å, α = 90.00°, β = 90.00° and γ = 90.00°. The inequivalent atoms are Mg at (0.250, 0.250, 0.168), Be at (0.250, 0.250, 0.517) and N at (0.250, 0.750, 0.621).

As for the total magnetization: 0.0 μB/cell. For the theoretical density, the calculation gives 2.3 Mg/m³.

<iii>
Computed, not measured: MgBeN after structural relaxation at the PBE level of DFT.

It has space group Immm (No. 71), with a = 3.367 Å, b = 3.801 Å, c = 10.192 Å, α = 90.00°, β = 90.00° and γ = 90.00°. The inequivalent atoms are Mg at (0.000, 0.000, 0.165), Be at (0.000, 0.235, 0.500) and N at (0.000, 0.000, 0.366).

As for the total magnetization: 0.0 μB/cell. For the theoretical density, the calculation gives 2.4 Mg/m³.

Stability comparison, relative energies in kJ/mol of atoms: <i> 10.3; <ii> 0.0; <iii> 31.5

<i>
Computed, not measured: MgBe2N after structural relaxation at the PBE level of DFT.

It has space group I-42d (No. 122), with a = 5.269 Å, b = 5.269 Å, c = 7.427 Å, α = 90.00°, β = 90.00° and γ = 90.00°. The inequivalent atoms are Mg at (0.000, 0.000, 0.000), Be at (0.048, 0.750, 0.625) and N at (0.000, 0.000, 0.500).

As for the total magnetization: 0.0 μB/cell. For the theoretical density, the calculation gives 1.8 Mg/m³.

<ii>
Computed, not measured: MgBe2N after structural relaxation at the PBE level of DFT.

It has space group Fm-3m (No. 225), with a = 5.680 Å, b = 5.680 Å, c = 5.680 Å, α = 90.00°, β = 90.00° and γ = 90.00°. The inequivalent atoms are Mg at (0.000, 0.000, 0.000), Be at (0.250, 0.250, 0.250) and N at (0.000, 0.000, 0.500).

As for the total magnetization: 0.0 μB/cell. For the theoretical density, the calculation gives 2.0 Mg/m³.

Stability comparison, relative energies in kJ/mol of atoms: <i> 0.0; <ii> 143.5

<i>
Computed, not measured: MgBeNO after structural relaxation at the PBE level of DFT.

It has space group Amm2 (No. 38), with a = 2.701 Å, b = 2.764 Å, c = 9.507 Å, α = 90.00°, β = 90.00° and γ = 90.00°. The inequivalent atoms are Mg at (0.000, 0.000, 0.000), Be at (0.500, 0.000, 0.251), N at (0.500, 0.000, 0.624) and O at (0.000, 0.000, 0.344).

As for the total magnetization: 0.0 μB/cell. For the theoretical density, the calculation gives 3.0 Mg/m³.

<ii>
Computed, not measured: MgBeNO after structural relaxation at the PBE level of DFT.

It has space group Cm (No. 8), with a = 5.255 Å, b = 3.029 Å, c = 4.979 Å, α = 90.00°, β = 110.75° and γ = 90.00°. The inequivalent atoms are Mg at (0.000, 0.000, 0.000), Be at (0.014, 0.500, 0.539), N at (0.219, 0.000, 0.655) and O at (0.400, 0.000, 0.199).

As for the total magnetization: 2.0 μB/cell. For the theoretical density, the calculation gives 2.8 Mg/m³.

Stability comparison, relative energies in kJ/mol of atoms: <i> 0.0; <ii> 2.1

<i>
Computed, not measured: MgBeNO after structural relaxation at the PBE level of DFT.

It has space group P3m1 (No. 156), with a = 3.0441 Å, b = 3.0441 Å, c = 4.5510 Å, α = 90.00°, β = 90.00° and γ = 120.00°. The inequivalent atoms are Mg at (0.0000, 0.0000, 0.0000), Be at (0.6667, 0.3333, 0.4536), N at (0.3333, 0.6667, 0.3298) and O at (0.6667, 0.3333, 0.7981).

As for the total magnetization: 1.0 μB/cell. For the theoretical density, the calculation gives 2.9 Mg/m³.

<ii>
Computed, not measured: MgBeNO after structural relaxation at the PBE level of DFT.

It has space group P1 (No. 1), with a = 2.626 Å, b = 2.835 Å, c = 4.907 Å, α = 80.33°, β = 81.99° and γ = 73.98°. The inequivalent atoms are Mg at (0.000, 0.000, 0.000), Be at (0.729, 0.296, 0.474), N at (0.699, 0.712, 0.707) and O at (0.284, 0.321, 0.259).

As for the total magnetization: 0.0 μB/cell. For the theoretical density, the calculation gives 3.1 Mg/m³.

Stability comparison, relative energies in kJ/mol of atoms: <i> 0.0; <ii> 3.8

<i>
Computed, not measured: MgBeSeN2 after structural relaxation at the PBE level of DFT.

It has space group P4/mmm (No. 123), with a = 3.551 Å, b = 3.551 Å, c = 5.358 Å, α = 90.00°, β = 90.00° and γ = 90.00°. The inequivalent atoms are Mg at (0.000, 0.000, 0.000), Be at (0.500, 0.500, 0.500), Se at (0.500, 0.500, 0.000) and N at (0.000, 0.500, 0.500).

As for the total magnetization: 1.6 μB/cell. For the theoretical density, the calculation gives 3.4 Mg/m³.

<ii>
Computed, not measured: MgBeSeN2 after structural relaxation at the PBE level of DFT.

It has space group P4/mmm (No. 123), with a = 3.914 Å, b = 3.914 Å, c = 5.702 Å, α = 90.00°, β = 90.00° and γ = 90.00°. The inequivalent atoms are Mg at (0.000, 0.000, 0.000), Be at (0.500, 0.500, 0.500), Se at (0.000, 0.000, 0.500) and N at (0.000, 0.500, 0.000).

As for the total magnetization: 3.6 μB/cell. For the theoretical density, the calculation gives 2.7 Mg/m³.

Stability comparison, relative energies in kJ/mol of atoms: <i> 0.0; <ii> 74.5

<i>
Computed, not measured: MgBeTeN2 after structural relaxation at the PBE level of DFT.

It has space group P4/mmm (No. 123), with a = 3.749 Å, b = 3.749 Å, c = 5.397 Å, α = 90.00°, β = 90.00° and γ = 90.00°. The inequivalent atoms are Mg at (0.000, 0.000, 0.000), Be at (0.500, 0.500, 0.500), Te at (0.500, 0.500, 0.000) and N at (0.000, 0.500, 0.500).

As for the total magnetization: 1.2 μB/cell. For the theoretical density, the calculation gives 4.1 Mg/m³.

<ii>
Computed, not measured: MgBeTeN2 after structural relaxation at the PBE level of DFT.

It has space group P4/mmm (No. 123), with a = 4.007 Å, b = 4.007 Å, c = 6.278 Å, α = 90.00°, β = 90.00° and γ = 90.00°. The inequivalent atoms are Mg at (0.000, 0.000, 0.000), Be at (0.500, 0.500, 0.500), Te at (0.000, 0.000, 0.500) and N at (0.000, 0.500, 0.000).

As for the total magnetization: 4.0 μB/cell. For the theoretical density, the calculation gives 3.1 Mg/m³.

Stability comparison, relative energies in kJ/mol of atoms: <i> 0.0; <ii> 42.0

<i>
Computed, not measured: Na3MgBe after structural relaxation at the PBE level of DFT.

It has space group Pm-3m (No. 221), with a = 5.424 Å, b = 5.424 Å, c = 5.424 Å, α = 90.00°, β = 90.00° and γ = 90.00°. The inequivalent atoms are Na at (0.000, 0.000, 0.500), Mg at (0.500, 0.500, 0.500) and Be at (0.000, 0.000, 0.000).

As for the total magnetization: 0.0 μB/cell. For the theoretical density, the calculation gives 1.1 Mg/m³.

<ii>
Computed, not measured: Na3MgBe after structural relaxation at the PBE level of DFT.

It has space group Pm-3m (No. 221), with a = 5.844 Å, b = 5.844 Å, c = 5.844 Å, α = 90.00°, β = 90.00° and γ = 90.00°. The inequivalent atoms are Na at (0.000, 0.000, 0.500), Mg at (0.000, 0.000, 0.000) and Be at (0.500, 0.500, 0.500).

As for the total magnetization: 0.0 μB/cell. For the theoretical density, the calculation gives 0.9 Mg/m³.

Stability comparison, relative energies in kJ/mol of atoms: <i> 0.0; <ii> 30.2

<i>
Computed, not measured: Mg3BeNb after structural relaxation at the PBE level of DFT.

It has space group Pm-3m (No. 221), with a = 4.582 Å, b = 4.582 Å, c = 4.582 Å, α = 90.00°, β = 90.00° and γ = 90.00°. The inequivalent atoms are Mg at (0.000, 0.000, 0.500), Be at (0.000, 0.000, 0.000) and Nb at (0.500, 0.500, 0.500).

As for the total magnetization: 0.8 μB/cell. For the theoretical density, the calculation gives 3.0 Mg/m³.

<ii>
Computed, not measured: Mg3BeNb after structural relaxation at the PBE level of DFT.

It has space group Pm-3m (No. 221), with a = 5.433 Å, b = 5.433 Å, c = 5.433 Å, α = 90.00°, β = 90.00° and γ = 90.00°. The inequivalent atoms are Mg at (0.000, 0.000, 0.500), Be at (0.500, 0.500, 0.500) and Nb at (0.000, 0.000, 0.000).

As for the total magnetization: 4.0 μB/cell. For the theoretical density, the calculation gives 1.8 Mg/m³.

Stability comparison, relative energies in kJ/mol of atoms: <i> 0.0; <ii> 84.0